Record 1
La2PmTh3 | Alexandria via LeMat-Bulk | PBE-GGA | relaxed; ΔH_f (0 K) = 193 meV/atom; SG = Cmcm, No. 63
1.0
-5.4594 0.0173 4.0938
3.7776 -9.6781 5.0785
0.7225 7.6794 0.9311
La Pm Th
4 2 6
direct
0.7500 0.1024 0.6656 La
0.7500 0.4368 0.3344 La
0.2500 0.5632 0.6656 La
0.2500 0.8976 0.3344 La
0.2500 0.2292 0.0000 Pm
0.7500 0.7708 0.0000 Pm
0.5000 0.5000 0.0000 Th
0.5000 0.1669 0.3337 Th
0.5000 0.8331 0.6663 Th
0.0000 0.8331 0.6663 Th
0.0000 0.5000 0.0000 Th
0.0000 0.1669 0.3337 Th



Record 2
CaHfSb2Te | Alexandria via LeMat-Bulk | PBE-GGA | relaxed; DFT total energy = -24.8 eV per formula unit; SG = P4/mmm, No. 123
1.0
-0.2005 3.1729 -4.5478
-5.4932 0.5087 0.5971
0.7595 4.5306 3.1275
Sb Te Ca Hf
2 1 1 1
direct
0.0000 0.5000 0.0000 Sb
0.5000 0.0000 0.0000 Sb
0.0000 0.0000 0.5000 Te
0.5000 0.5000 0.5000 Ca
0.0000 0.0000 0.0000 Hf



For each record above, in turn, the calculated magnetic moment values are 0.00 0.00 μB per atom.